(1)
Compound: La2MgNi2
Source: the Alexandria database
Functional: PBE
Structure: optimized geometry

Cell: 7.6093 7.6093 3.9355 Å, 90.00 90.00 90.00°
Last column: nearest neighbours and their distance in Å.
Fractional positions:
La (0.1719, 0.3281, 0.0000)  6 Ni 2.97-3.00
La (0.3281, 0.8281, 0.0000)  6 Ni 2.97-3.00
La (0.6719, 0.1719, 0.0000)  6 Ni 2.97-3.00
La (0.8281, 0.6719, 0.0000)  6 Ni 2.97-3.00
Mg (0.0000, 0.0000, 0.5000)  4 Ni 3.02
Mg (0.5000, 0.5000, 0.5000)  4 Ni 3.02
Ni (0.1217, 0.6217, 0.5000)  1 Ni 2.62
Ni (0.3783, 0.1217, 0.5000)  1 Ni 2.62
Ni (0.6217, 0.8783, 0.5000)  1 Ni 2.62
Ni (0.8783, 0.3783, 0.5000)  1 Ni 2.62

Formation energy: -1.6 eV/f.u.
DOS(E_F): 7.6 states/eV/cell
Energy: -4.9206 eV/atom


(2)
Compound: MgCrCd2
Source: the Alexandria database
Functional: PBE
Structure: optimized geometry

Cell: 9.7101 9.7101 9.7101 Å, 18.73 18.73 18.73°
Last column: nearest neighbours and their distance in Å.
Fractional positions:
Mg (0.0000, 0.0000, 0.0000)  6 Cd 3.10, 6 Mg 3.16
Cr (0.5000, 0.5000, 0.5000)  6 Cd 2.91, 6 Cr 3.16
Cd (0.2458, 0.2458, 0.2458)  3 Cr 2.91, 3 Mg 3.10, 6 Cd 3.16
Cd (0.7542, 0.7542, 0.7542)  3 Cr 2.91, 3 Mg 3.10, 6 Cd 3.16

Formation energy: 1.2 eV/f.u.
DOS(E_F): 2.0 states/eV/cell
Energy: -2.9613 eV/atom


(3)
Compound: GdThTlZn
Source: the Alexandria database
Functional: PBE
Structure: optimized geometry

Cell: 5.3294 5.3294 5.3294 Å, 60.00 60.00 60.00°
Last column: nearest neighbours and their distance in Å.
Fractional positions:
Gd (0.0000, 0.0000, 0.0000)  4 Zn 3.26, 4 Tl 3.26
Th (0.5000, 0.5000, 0.5000)  4 Tl 3.26, 4 Zn 3.26
Tl (0.2500, 0.2500, 0.2500)  4 Gd 3.26, 4 Th 3.26
Zn (0.7500, 0.7500, 0.7500)  4 Gd 3.26, 4 Th 3.26

Formation energy: -0.8 eV/f.u.
DOS(E_F): 3.3 states/eV/cell
Energy: -6.4868 eV/atom


(4)
Compound: Mg2Hg2GeO6
Source: the Alexandria database
Functional: PBE
Structure: optimized geometry

Cell: 5.3999 5.3999 5.9543 Å, 90.79 90.79 120.72°
Last column: nearest neighbours and their distance in Å.
Fractional positions:
Mg (0.1584, 0.8416, 0.0000)  6 O 2.09-2.16
Mg (0.8416, 0.1584, 0.0000)  6 O 2.09-2.16
Hg (0.3380, 0.6620, 0.5000)  2 O 2.05
Hg (0.6620, 0.3380, 0.5000)  2 O 2.05
Ge (0.5000, 0.5000, 0.0000)  6 O 1.83-2.02
O (0.1931, 0.5142, 0.1787)  1 Ge 2.02, 1 Hg 2.05, 2 Mg 2.14-2.16
O (0.2026, 0.2026, 0.8385)  1 Ge 1.83
O (0.4858, 0.8069, 0.8213)  1 Ge 2.02, 1 Hg 2.05, 2 Mg 2.14-2.16
O (0.5142, 0.1931, 0.1787)  1 Ge 2.02, 1 Hg 2.05, 2 Mg 2.14-2.16
O (0.7974, 0.7974, 0.1615)  1 Ge 1.83
O (0.8069, 0.4858, 0.8213)  1 Ge 2.02, 1 Hg 2.05, 2 Mg 2.14-2.16

DOS(E_F): 0.0 states/eV/cell
Formation energy from raw total energies: -1.53 eV/atom
Energy: -4.9999 eV/atom


Number 1: calculated volume 22.79 Å³ per atom. Number 2: calculated volume 20.62 Å³ per atom. Number 3: calculated volume 26.76 Å³ per atom. Number 4: calculated volume 13.56 Å³ per atom.